An optimized crystal structure of Mg2AsIr, computed with GGA-PBE.

Lattice parameters (Å, degrees): 3.2247 4.2335 5.3331 90.00 107.37 90.00
Last column: nearest neighbours and their distance in Å.
Fractional coordinates of all 4 atoms:
Mg 0.0000 0.0000 0.0000  3 Ir 2.76-2.84, 4 As 2.83-2.84
Mg 0.3198 0.5000 0.6449  3 As 2.78-2.81, 4 Ir 2.82-2.83
As 0.5953 0.5000 0.1920  2 Ir 2.51, 3 Mg 2.78-2.81
Ir 0.7267 0.0000 0.4587  2 As 2.51, 1 Mg 2.76

## Properties
DFT formation energy: -0.357 eV/atom
Total magnetic moment: 0.00 μB per formula unit
Total energy: -4.53 eV/atom
D(E_F): 0.73 states/eV per atom
Symmetry: Pm
Crystal system: monoclinic